The following is a DFT calculation (PBE with a Hubbard U) of AlWSF2 after structural relaxation.

Lattice parameters (Å, degrees): 4.0191 5.7808 4.0191 90.00 90.00 90.00
Each line ends with the local moment (μB).
Element x y z (fractional)
1 Al 0.0000 0.5000 0.0000  -0.03
2 F 0.0000 0.0000 0.5000  0.01
3 F 0.5000 0.0000 0.0000  0.06
4 W 0.0000 0.0000 0.0000  2.54
5 S 0.5000 0.5000 0.5000  0.00

The total energy comes out at -4.786 eV/atom.